Density functional theory data (GGA+U) for a relaxed structure of KPrNiF6.

DFT total energy in eV/atom: -5.2962
Magnetization in μB per cell: 3.80

abc: 5.9153 5.9153 10.6081
angles: 90.00 90.00 120.00
Space group P-31c (No. 163)
Unique sites:
K1 0.0000 0.0000 0.0000 [2 per cell]
Pr1 0.3333 0.6667 0.2500 [2 per cell]
Ni1 0.3333 0.6667 0.7500 [2 per cell]
F1 0.0347 0.3886 0.6440 [12 per cell]